First-principles (GGA+U) data for MnCr2O6 after structural relaxation, as listed in the Alexandria database.

Raw total energy = -7.1938 eV/atom
Fermi-level density of states = 2.6 states/eV/f.u.
Total magnetization = 21.00 μB per cell
V = 10.3 A^3/atom

a b c (Å): 8.629 8.629 4.299
angles (deg): 90.00 90.00 120.00
Atoms (fractional coordinates):
Mn (0.000, 0.000, 0.000)
Mn (0.333, 0.667, 0.491)
Mn (0.667, 0.333, 0.509)
Cr (0.000, 0.339, 0.000)
Cr (0.000, 0.661, 0.000)
Cr (0.339, 0.000, 0.000)
Cr (0.339, 0.339, 0.000)
Cr (0.661, 0.000, 0.000)
Cr (0.661, 0.661, 0.000)
O (0.106, 0.553, 0.749)
O (0.113, 0.226, 0.780)
O (0.113, 0.887, 0.780)
O (0.221, 0.441, 0.243)
O (0.221, 0.779, 0.243)
O (0.226, 0.113, 0.220)
O (0.441, 0.221, 0.757)
O (0.447, 0.553, 0.749)
O (0.447, 0.894, 0.749)
O (0.553, 0.106, 0.251)
O (0.553, 0.447, 0.251)
O (0.559, 0.779, 0.243)
O (0.774, 0.887, 0.780)
O (0.779, 0.221, 0.757)
O (0.779, 0.559, 0.757)
O (0.887, 0.113, 0.220)
O (0.887, 0.774, 0.220)
O (0.894, 0.447, 0.251)